Material: MnAsSe2
Method: DFT, PBE
State: relaxed

Space-group type: No. 65
D(E_F): 2.0 states/eV/cell
Energy: -5.153 eV/atom

Cell lengths 4.767, 4.767, 3.826 Å; angles 90.00, 90.00, 105.80 degrees
Sites, in units of the cell vectors:
Mn: 0.000 0.000 0.000
As: 0.500 0.500 0.000
Se: 0.244 0.756 0.500
Se: 0.756 0.244 0.500